# 1
Entry from Alexandria: a crystal of SmH18I3O9 relaxed with PBEsol (meta-GGA SCAN).

Geometry as CIF:
```
data_SmH18I3O9
_cell_length_a 7.700
_cell_length_b 11.242
_cell_length_c 9.046
_cell_angle_alpha 90.00
_cell_angle_beta 90.00
_cell_angle_gamma 90.00
_symmetry_space_group_name_H-M 'P m m n'
_symmetry_Int_Tables_number 59
loop_
_symmetry_equiv_pos_as_xyz
'x,y,z'
'-x,-y,-z'
'-x+1/2,-y+1/2,z'
'x+1/2,y+1/2,-z'
'x+1/2,-y,-z'
'-x+1/2,y,z'
'-x,y+1/2,-z'
'x,-y+1/2,z'
loop_
_atom_site_label
_atom_site_fract_x
_atom_site_fract_y
_atom_site_fract_z
Sm1 0.250 0.250 0.166
H1 0.043 0.680 0.626
H2 0.044 0.647 0.014
H3 0.045 0.573 0.865
H4 0.250 0.050 0.407
H5 0.250 0.179 0.828
H6 0.250 0.522 0.257
I1 0.250 0.503 0.668
I2 0.250 0.750 0.192
O1 0.032 0.117 0.067
O2 0.033 0.250 0.365
O3 0.250 0.059 0.298
O4 0.250 0.250 0.894
```

Computed properties:
The value obtained for the total magnetization is 0.0 μB/f.u. As for the total energy: -0.7330 Ry per atom.

=====

# 2
Entry from Alexandria: a crystal of Li3BiN relaxed with PBEsol (meta-GGA SCAN).

Geometry as CIF:
```
data_Li3BiN
_cell_length_a 5.301
_cell_length_b 5.301
_cell_length_c 5.301
_cell_angle_alpha 90.00
_cell_angle_beta 90.00
_cell_angle_gamma 90.00
_symmetry_space_group_name_H-M 'P m -3 m'
_symmetry_Int_Tables_number 221
_symmetry_space_group_name_Hall '-P 4 2 3'
loop_
_atom_site_label
_atom_site_fract_x
_atom_site_fract_y
_atom_site_fract_z
Li1 0.000 0.000 0.500
Bi1 0.000 0.000 0.000
N1 0.500 0.500 0.500
```

Computed properties:
The value obtained for the total magnetization is 3.0 μB/f.u. As for the total energy: -1.3492 Ry per atom. The uncorrected formation energy is 651 meV/atom. The energy above the most stable polymorph in this dataset is 812 meV/atom.